LiAgAs2 at its PBEsol-relaxed geometry. Source: Alexandria, functional SCAN.

SG   P4mm, No. 99
Total moment   0.00 μB/f.u.
Formation enthalpy at 0 K   -0.0235 eV per atom
Crystal system   tetragonal
Raw total energy   -18.56 eV per atom

Geometry as extended XYZ:
```
4
Lattice="2.7415 0.0000 0.0000 0.0000 2.7415 0.0000 0.0000 0.0000 9.1388" Properties=species:S:1:pos:R:3 pbc="T T T"
Li 0.0000 0.0000 4.6022
As 1.3708 1.3708 2.6689
As 0.0000 0.0000 8.8848
Ag 1.3708 1.3708 6.6911
```